First-principles (GGA-PBE) data for a relaxed Na2PrTiSe4 crystal, as listed in the Alexandria database.

Output
electronic total energy: -5.0097 eV per atom
space-group type: P2/m (10)
crystal system: monoclinic
Fermi-level density of states: 0.546 states/eV per atom
formation energy from raw total energies: -1.353 eV/atom

Unit cell a=7.043 b=4.054 c=7.412 alpha=90.00 beta=108.46 gamma=90.00
Atoms (fractional coordinates):
Na (0.000, 0.000, 0.000)
Na (0.500, 0.500, 0.000)
Pr (0.000, 0.500, 0.500)
Ti (0.500, 0.000, 0.500)
Se (0.272, 0.000, 0.732)
Se (0.286, 0.500, 0.283)
Se (0.714, 0.500, 0.717)
Se (0.728, 0.000, 0.268)